This record from the Alexandria database describes a relaxed KRb2Sn2F7 crystal. The functional is GGA-PBE.

Structure (POSCAR):
```
KRb2Sn2F7
1.0
4.855 -0.152 0.147
-0.146 4.856 0.147
2.784 2.780 11.482
Sn Rb F K
2 2 7 1
Direct
0.617 0.617 0.798
0.383 0.383 0.202
0.791 0.791 0.362
0.209 0.209 0.638
0.641 0.641 0.601
0.438 0.836 0.175
0.164 0.562 0.825
0.359 0.359 0.399
0.562 0.164 0.825
0.836 0.438 0.175
0.500 0.500 0.000
0.000 0.000 0.000
```

Total magnetic moment   0.0 μB/f.u.
ΔE_f (raw)   -2.5004 eV per atom
SG   C2/m

=====

This record from the Alexandria database describes a relaxed Ac3PmNi8 crystal. The functional is GGA-PBE.

Structure (POSCAR):
```
Ac3PmNi8
1.0
5.301 0.000 0.000
2.651 4.591 0.000
2.651 1.530 8.685
Ni Ac Pm
8 3 1
Direct
0.440 0.939 0.683
0.435 0.937 0.192
0.939 0.939 0.683
0.939 0.440 0.683
0.687 0.687 0.938
0.937 0.435 0.192
0.188 0.188 0.436
0.435 0.435 0.192
0.997 0.997 0.010
0.377 0.377 0.870
0.503 0.503 0.491
0.873 0.873 0.381
```

Total magnetic moment   0.0 μB/f.u.
Calculated formation energy   -0.20 eV/atom
SG   R3m

=====

This record from the Alexandria database describes a relaxed Li4PrPb2 crystal. The functional is GGA-PBE.

Structure (POSCAR):
```
Li4PrPb2
1.0
-0.580 -4.719 -0.102
2.854 -0.184 -7.689
7.626 -0.999 2.854
Pr Li Pb
2 8 4
Direct
0.000 0.500 0.500
0.500 0.000 0.000
0.500 0.853 0.395
0.000 0.895 0.647
0.000 0.353 0.105
0.500 0.395 0.853
0.000 0.105 0.353
0.500 0.605 0.147
0.000 0.647 0.895
0.500 0.147 0.605
0.000 0.790 0.210
0.500 0.290 0.290
0.500 0.710 0.710
0.000 0.210 0.790
```

Total magnetic moment   0.0 μB/f.u.
Calculated formation energy   -0.39 eV/atom
SG   P4_2/mnm

=====

This record from the Alexandria database describes a relaxed PmHo2Sb2 crystal. The functional is GGA-PBE.

Structure (POSCAR):
```
PmHo2Sb2
1.0
-3.910 -1.694 -1.451
-1.209 -0.789 4.263
-0.405 7.808 -1.045
Sb Ho Pm
2 2 1
Direct
0.397 0.397 0.792
0.603 0.603 0.208
0.249 0.751 0.500
0.751 0.249 0.500
0.000 0.000 0.000
```

Total magnetic moment   0.0 μB/f.u.
ΔE_f (raw)   -0.6602 eV per atom
SG   C2/m

=====

This record from the Alexandria database describes a relaxed CsSc2Ru crystal. The functional is GGA-PBE.

Structure (POSCAR):
```
CsSc2Ru
1.0
1.915 0.000 11.633
-0.958 1.659 11.633
-0.958 -1.659 11.633
Ru Cs Sc
1 1 2
Direct
0.000 0.000 0.000
0.500 0.500 0.500
0.934 0.934 0.934
0.066 0.066 0.066
```

Total magnetic moment   0.0 μB/f.u.
Calculated formation energy   0.73 eV/atom
Excess energy over the best structure of this formula in the dataset   0.573 eV per atom
SG   R-3m

=====

This record from the Alexandria database describes a relaxed Cr2CoAg crystal. The functional is GGA-PBE.

Structure (POSCAR):
```
Cr2CoAg
1.0
3.737 0.000 0.000
0.000 3.741 0.000
0.000 0.000 3.904
Ag Cr Co
1 2 1
Direct
0.500 0.000 0.500
0.000 0.000 0.000
0.500 0.500 0.000
0.000 0.500 0.500
```

Total magnetic moment   1.1 μB/f.u.
Calculated formation energy   0.43 eV/atom
Excess energy over the best structure of this formula in the dataset   0.080 eV per atom
SG   P4/mmm

=====

This record from the Alexandria database describes a relaxed Sb2Te2I crystal. The functional is GGA-PBE.

Structure (POSCAR):
```
Sb2Te2I
1.0
-2.278 2.054 4.918
-5.261 -1.723 -1.718
-3.012 -4.401 3.858
Sb I Te
2 1 2
Direct
0.653 0.653 0.695
0.347 0.347 0.305
0.000 0.000 0.000
0.250 0.750 0.500
0.750 0.250 0.500
```

Total magnetic moment   0.0 μB/f.u.
ΔE_f (raw)   0.0070 eV per atom
Excess energy over the best structure of this formula in the dataset   0.051 eV per atom
SG   I4/mmm

=====

This record from the Alexandria database describes a relaxed NaZn2In2Au5 crystal. The functional is GGA-PBE.

Structure (POSCAR):
```
NaZn2In2Au5
1.0
-0.623 -2.135 -3.649
1.769 -8.209 4.502
-9.259 -0.854 2.080
Au Na Zn In
10 2 4 4
Direct
0.500 0.198 0.085
0.500 0.085 0.802
0.500 0.000 0.500
0.500 0.302 0.585
0.500 0.585 0.698
0.500 0.500 0.000
0.500 0.698 0.415
0.500 0.915 0.198
0.500 0.415 0.302
0.500 0.802 0.915
0.000 0.000 0.000
0.000 0.500 0.500
0.000 0.620 0.880
0.000 0.380 0.120
0.000 0.120 0.620
0.000 0.880 0.380
0.000 0.324 0.824
0.000 0.176 0.324
0.000 0.676 0.176
0.000 0.824 0.676
```

Total magnetic moment   0.0 μB/f.u.
Calculated formation energy   -0.13 eV/atom
SG   P4/mbm

=====

This record from the Alexandria database describes a relaxed Pm2TmHg crystal. The functional is GGA-PBE.

Structure (POSCAR):
```
Pm2TmHg
1.0
-1.179 -3.250 -4.253
-1.297 -5.258 0.845
-5.145 -1.715 -0.795
Tm Hg Pm
1 1 2
Direct
0.500 0.500 0.500
0.000 0.000 0.000
0.250 0.250 0.250
0.750 0.750 0.750
```

Total magnetic moment   0.0 μB/f.u.
Calculated formation energy   -0.08 eV/atom
Excess energy over the best structure of this formula in the dataset   0.145 eV per atom
SG   Fm-3m

=====

This record from the Alexandria database describes a relaxed CaInIr crystal. The functional is GGA-PBE.

Structure (POSCAR):
```
CaInIr
1.0
-2.275 -3.792 1.580
4.683 0.211 0.272
-0.249 1.462 3.151
Ir In Ca
1 1 1
Direct
0.333 0.667 0.500
0.667 0.333 0.500
0.000 0.000 0.000
```

Total magnetic moment   0.0 μB/f.u.
Calculated formation energy   -0.25 eV/atom
SG   P-6m2

=====

This record from the Alexandria database describes a relaxed ZrSc2Tl crystal. The functional is GGA-PBE.

Structure (POSCAR):
```
ZrSc2Tl
1.0
-7.611 -3.525 6.011
-5.024 -4.803 7.627
-5.982 -1.697 8.235
Sc Tl Zr
2 1 1
Direct
0.499 0.499 0.499
0.001 0.001 0.001
0.250 0.250 0.250
0.750 0.750 0.750
```

Total magnetic moment   0.0 μB/f.u.
Calculated formation energy   -0.12 eV/atom
Excess energy over the best structure of this formula in the dataset   0.052 eV per atom
SG   R-3m

=====

This record from the Alexandria database describes a relaxed Ba2MgBr crystal. The functional is GGA-PBE.

Structure (POSCAR):
```
Ba2MgBr
1.0
-1.754 -4.226 -6.651
2.387 -7.441 -2.027
-3.128 4.499 5.929
Br Ba Mg
1 2 1
Direct
0.500 0.500 0.000
0.250 0.750 0.500
0.000 0.000 0.000
0.750 0.250 0.500
```

Total magnetic moment   0.0 μB/f.u.
ΔE_f (raw)   -0.5532 eV per atom
Excess energy over the best structure of this formula in the dataset   0.196 eV per atom
SG   I-4m2

=====

Question: The highest total magnetic moment belongs to which entry?
Answer: Cr2CoAg